1.
# Ce2Tm5Ru4, optimized geometry, DFT GGA-PBE
# - density of states at the Fermi level (states/eV/cell) = 21.27
data_Ce2Tm5Ru4
_chemical_formula_sum 'Ce4 Tm10 Ru8'
_cell_length_a 21.2140
_cell_length_b 3.3268
_cell_length_c 7.8028
_cell_angle_alpha 90.00
_cell_angle_beta 111.55
_cell_angle_gamma 90.00
_space_group_name_H-M_alt 'C 1 2/m 1'
_space_group_IT_number 12
loop_
_space_group_symop_operation_xyz
'x,y,z'
'-x,-y,-z'
'-x,y,-z'
'x,-y,z'
'x+1/2,y+1/2,z'
'-x+1/2,-y+1/2,-z'
'-x+1/2,y+1/2,-z'
'x+1/2,-y+1/2,z'
loop_
_atom_site_label
_atom_site_type_symbol
_atom_site_fract_x
_atom_site_fract_y
_atom_site_fract_z
_atom_site_occupancy
Ce1 Ce 0.0618 0.0000 0.1993 1
Tm1 Tm 0.0000 0.5000 0.5000 1
Tm2 Tm 0.1574 0.0000 0.6563 1
Tm3 Tm 0.1962 0.0000 0.1246 1
Ru1 Ru 0.0555 0.0000 0.8409 1
Ru2 Ru 0.1935 0.5000 0.4176 1



2.
# K3Li2Sn4, optimized geometry, DFT GGA-PBE
# - density of states at the Fermi level (states/eV/cell) = 3.69
data_K3Li2Sn4
_chemical_formula_sum 'K3 Li2 Sn4'
_cell_length_a 4.9515
_cell_length_b 6.9992
_cell_length_c 9.9652
_cell_angle_alpha 105.71
_cell_angle_beta 90.16
_cell_angle_gamma 110.65
_space_group_name_H-M_alt 'P -1'
_space_group_IT_number 2
loop_
_space_group_symop_operation_xyz
'x,y,z'
'-x,-y,-z'
loop_
_atom_site_label
_atom_site_type_symbol
_atom_site_fract_x
_atom_site_fract_y
_atom_site_fract_z
_atom_site_occupancy
K1 K 0.0000 0.0000 0.0000 1
K2 K 0.3722 0.7428 0.6106 1
Li1 Li 0.3444 0.6878 0.2188 1
Sn1 Sn 0.0828 0.1666 0.6433 1
Sn2 Sn 0.2657 0.5341 0.9118 1



Quick rundown of energy of formation from the pure elements, same order as above: -0.170, -0.200 eV per atom